The following is a PBE calculation of an optimized crystal structure of NaIr2Pt, from the Alexandria database.

```
data_NaIr2Pt
_chemical_formula_sum 'Na4 Ir8 Pt4'
_symmetry_space_group_name_H-M 'I -4 2 d'
_symmetry_Int_Tables_number 122
_symmetry_space_group_name_Hall 'I -4 2bw'
_cell_length_a 7.7292
_cell_length_b 7.7292
_cell_length_c 4.9475
_cell_angle_alpha 90.00
_cell_angle_beta 90.00
_cell_angle_gamma 90.00
loop_
_atom_site_label
_atom_site_fract_x
_atom_site_fract_y
_atom_site_fract_z
Na1 0.0000 0.0000 0.0000
Ir1 0.1992 0.7500 0.6250
Pt1 0.0000 0.0000 0.5000
```

Properties
Offset from the most stable computed form ... 0.347 eV per formula unit
Fermi-level density of states ... 27.3 states/eV per cell